*i*
Entry from the Alexandria database: crystalline Ho2TlAg3 at its relaxed geometry (PBE).

a b c (Å): 4.042 3.882 9.892
angles (deg): 101.32 101.79 90.00
Sites, in units of the cell vectors:
Ho 0.856 0.356 0.712
Ag 0.702 0.702 0.405
Ag 0.295 0.795 0.591
Ho 0.136 0.136 0.272
Tl 0.452 0.952 0.903
Ag 0.558 0.558 0.116

M_tot   0.00 Bohr magnetons per cell
Theoretical density   9.57 Mg/m³


*ii*
Entry from the Alexandria database: crystalline Ho2TlAg3 at its relaxed geometry (PBE).

a b c (Å): 5.879 5.879 9.124
angles (deg): 101.88 101.88 111.16
Sites, in units of the cell vectors:
Ho 0.754 0.754 0.000
Ag 0.165 0.672 0.837
Ho 0.246 0.246 0.000
Ag 0.165 0.165 0.331
Ag 0.672 0.165 0.837
Ag 0.835 0.835 0.669
Ho 0.750 0.250 0.500
Ag 0.835 0.328 0.163
Tl 0.666 0.666 0.333
Tl 0.334 0.334 0.667
Ho 0.250 0.750 0.500
Ag 0.328 0.835 0.163

M_tot   0.00 Bohr magnetons per cell
Theoretical density   10.40 Mg/m³


Stability check: which of them is most stable? *ii*.


*i*
Entry from the Alexandria database: crystalline Ho3Tl2Ag at its relaxed geometry (PBE).

a b c (Å): 5.272 5.272 12.968
angles (deg): 90.00 90.00 120.00
Sites, in units of the cell vectors:
Tl 0.000 0.000 0.500
Ho 0.667 0.333 0.088
Ag 0.667 0.333 0.332
Tl 0.667 0.333 0.827
Ho 0.667 0.333 0.582
Tl 0.000 0.000 0.000
Ho 0.333 0.667 0.418
Ho 0.000 0.000 0.255
Ho 0.333 0.667 0.912
Ag 0.333 0.667 0.668
Ho 0.000 0.000 0.745
Tl 0.333 0.667 0.173

M_tot   0.00 Bohr magnetons per cell
Theoretical density   10.76 Mg/m³


*ii*
Entry from the Alexandria database: crystalline Ho3Tl2Ag at its relaxed geometry (PBE).

a b c (Å): 3.598 3.598 12.010
angles (deg): 90.00 90.00 90.00
Sites, in units of the cell vectors:
Ho 0.000 0.000 0.349
Ho 0.000 0.000 0.000
Tl 0.500 0.500 0.175
Tl 0.500 0.500 0.825
Ag 0.500 0.500 0.500
Ho 0.000 0.000 0.651

M_tot   0.03 Bohr magnetons per cell
Theoretical density   10.80 Mg/m³


Stability check: which of them is most stable? *ii*.


*i*
Entry from the Alexandria database: crystalline HoTmAg at its relaxed geometry (PBE).

a b c (Å): 3.606 5.014 5.014
angles (deg): 120.00 90.00 90.00
Sites, in units of the cell vectors:
Tm 0.070 0.000 0.000
Ho 0.607 0.667 0.333
Ag 0.323 0.333 0.667

M_tot   0.00 Bohr magnetons per cell
Theoretical density   9.34 Mg/m³


*ii*
Entry from the Alexandria database: crystalline HoTmAg at its relaxed geometry (PBE).

a b c (Å): 4.982 4.982 8.601
angles (deg): 73.16 73.16 60.00
Sites, in units of the cell vectors:
Tm 0.625 0.625 0.124
Ho 0.875 0.875 0.374
Ag 0.749 0.749 0.752
Ag 0.251 0.251 0.248
Tm 0.375 0.375 0.876
Ho 0.125 0.125 0.626

M_tot   0.00 Bohr magnetons per cell
Theoretical density   8.42 Mg/m³


Stability check: which of them is most stable? *i*.